# 1
Entry from OQMD via LeMat-Bulk: an optimized crystal structure of MgPPdO (PBE).

The structure in POSCAR format:
```
MgPPdO
1.0
4.3399 0.0000 0.0000
0.0000 4.3399 0.0000
0.0000 0.0000 7.6593
P O Mg Pd
2 2 2 2
direct
0.5000 0.5000 0.3345
0.0000 0.0000 0.6655
0.5000 0.0000 0.0000
0.0000 0.5000 0.0000
0.5000 0.0000 0.5000
0.0000 0.5000 0.5000
0.0000 0.0000 0.9630
0.5000 0.5000 0.0370
```

The calculation puts the volume at 144.3 Å³/cell. Its density is 4.1 g/cm³. As for the final energy: -4.442 eV per atom.



# 2
Entry from OQMD via LeMat-Bulk: an optimized crystal structure of MgPPdO (PBE).

The structure in POSCAR format:
```
MgPPdO
1.0
-1.5286 -2.6784 1.2938
6.2460 -2.5821 2.0341
-0.4968 2.6380 4.8742
Pd P O Mg
2 2 2 2
direct
0.5000 0.6995 0.4898
0.5000 0.3005 0.9898
0.5000 0.6018 0.8737
0.5000 0.3982 0.3737
0.0000 0.1030 0.8649
0.0000 0.8970 0.3649
0.0000 0.8658 0.0256
0.0000 0.1342 0.5256
```

The calculation puts the volume at 131.3 Å³/cell. Its density is 4.5 g/cm³. As for the final energy: -4.978 eV per atom.



# 3
Entry from OQMD via LeMat-Bulk: an optimized crystal structure of MgPPdO (PBE).

The structure in POSCAR format:
```
MgPPdO
1.0
4.0101 0.0000 0.0000
0.0000 4.0101 0.0000
0.0000 0.0000 8.4657
P O Mg Pd
2 2 2 2
direct
0.0000 0.5000 0.6494
0.5000 0.0000 0.3506
0.5000 0.5000 0.0000
0.0000 0.0000 0.0000
0.0000 0.5000 0.9921
0.5000 0.0000 0.0079
0.5000 0.5000 0.5000
0.0000 0.0000 0.5000
```

The calculation puts the volume at 136.1 Å³/cell. Its density is 4.3 g/cm³. As for the final energy: -5.481 eV per atom.



# 4
Entry from OQMD via LeMat-Bulk: an optimized crystal structure of MgPPtO (PBE).

The structure in POSCAR format:
```
MgPPtO
1.0
3.0309 -3.0309 0.0000
3.0309 3.0309 0.0000
0.0000 0.0000 7.2515
O Mg Pt P
2 2 2 2
direct
0.0000 0.5000 0.0000
0.5000 0.0000 0.0000
0.5000 0.0000 0.5000
0.0000 0.5000 0.5000
0.0000 0.0000 0.3012
0.5000 0.5000 0.6988
0.0000 0.0000 0.9858
0.5000 0.5000 0.0142
```

The calculation puts the volume at 133.2 Å³/cell. Its density is 6.6 g/cm³. As for the final energy: -4.659 eV per atom.



# 5
Entry from OQMD via LeMat-Bulk: an optimized crystal structure of MgPPtO (PBE).

The structure in POSCAR format:
```
MgPPtO
1.0
3.2494 0.0000 0.0000
0.0000 8.2250 0.0000
0.0000 0.0000 4.4427
P Mg O Pt
2 2 2 2
direct
0.0000 0.8955 0.4343
0.0000 0.1045 0.9343
0.5000 0.6261 0.4474
0.5000 0.3739 0.9474
0.5000 0.3906 0.4372
0.5000 0.6094 0.9372
0.0000 0.1703 0.4351
0.0000 0.8297 0.9351
```

The calculation puts the volume at 118.7 Å³/cell. Its density is 7.5 g/cm³. As for the final energy: -5.251 eV per atom.



# 6
Entry from OQMD via LeMat-Bulk: an optimized crystal structure of MgPPtO (PBE).

The structure in POSCAR format:
```
MgPPtO
1.0
4.0180 0.0000 0.0000
0.0000 4.0180 0.0000
0.0000 0.0000 8.5462
Pt Mg P O
2 2 2 2
direct
0.5000 0.5000 0.5000
0.0000 0.0000 0.5000
0.0000 0.5000 0.9936
0.5000 0.0000 0.0064
0.0000 0.5000 0.6509
0.5000 0.0000 0.3491
0.5000 0.5000 0.0000
0.0000 0.0000 0.0000
```

The calculation puts the volume at 138.0 Å³/cell. Its density is 6.4 g/cm³. As for the final energy: -5.740 eV per atom.



# 7
Entry from OQMD via LeMat-Bulk: an optimized crystal structure of MgPPtO (PBE).

The structure in POSCAR format:
```
MgPPtO
1.0
3.1459 0.0000 0.0000
0.0000 6.9288 0.0000
0.0000 0.0000 5.4684
P O Mg Pt
2 2 2 2
direct
0.0000 0.9618 0.4416
0.0000 0.0382 0.9416
0.5000 0.5687 0.0190
0.5000 0.4313 0.5190
0.0000 0.6662 0.8543
0.0000 0.3338 0.3543
0.5000 0.2719 0.9392
0.5000 0.7281 0.4392
```

The calculation puts the volume at 119.2 Å³/cell. Its density is 7.4 g/cm³. As for the final energy: -5.413 eV per atom.



# 8
Entry from OQMD via LeMat-Bulk: an optimized crystal structure of MgRePO (PBE).

The structure in POSCAR format:
```
MgRePO
1.0
3.8899 0.0000 0.0000
0.0000 3.8899 0.0000
0.0000 0.0000 8.7688
O P Mg Re
2 2 2 2
direct
0.5000 0.5000 0.0000
0.0000 0.0000 0.0000
0.5000 0.0000 0.3329
0.0000 0.5000 0.6671
0.0000 0.5000 0.0046
0.5000 0.0000 0.9954
0.0000 0.0000 0.5000
0.5000 0.5000 0.5000
```

The calculation puts the volume at 132.7 Å³/cell. Its density is 6.4 g/cm³. As for the final energy: -7.104 eV per atom.



# 9
Entry from OQMD via LeMat-Bulk: an optimized crystal structure of MgRePO (PBE).

The structure in POSCAR format:
```
MgRePO
1.0
4.0629 0.0000 0.0000
0.0000 4.5940 0.0000
0.0000 0.0000 5.7311
O P Re Mg
2 2 2 2
direct
0.5000 0.3933 0.4283
0.5000 0.6067 0.9283
0.0000 0.1243 0.7954
0.0000 0.8757 0.2954
0.0000 0.3820 0.4326
0.0000 0.6180 0.9326
0.5000 0.2053 0.0977
0.5000 0.7947 0.5977
```

The calculation puts the volume at 107.0 Å³/cell. Its density is 8.0 g/cm³. As for the final energy: -6.866 eV per atom.



# 10
Entry from OQMD via LeMat-Bulk: an optimized crystal structure of MgRePO (PBE).

The structure in POSCAR format:
```
MgRePO
1.0
3.0889 0.0000 0.0000
0.0000 6.2451 0.0000
0.0000 0.0000 5.8494
P O Mg Re
2 2 2 2
direct
0.0000 0.2990 0.8574
0.0000 0.7010 0.3574
0.5000 0.2515 0.3423
0.5000 0.7485 0.8423
0.0000 0.8952 0.9570
0.0000 0.1048 0.4570
0.5000 0.4968 0.0973
0.5000 0.5032 0.5973
```

The calculation puts the volume at 112.8 Å³/cell. Its density is 7.6 g/cm³. As for the final energy: -6.948 eV per atom.



# 11
Entry from OQMD via LeMat-Bulk: an optimized crystal structure of MgRePO (PBE).

The structure in POSCAR format:
```
MgRePO
1.0
-2.0444 -2.8213 0.8149
1.5083 -1.8607 -2.6582
5.6043 -2.6140 5.0097
Re P O Mg
2 2 2 2
direct
0.5000 0.5000 0.8377
0.0000 0.0000 0.1623
0.5000 0.5000 0.2722
0.0000 0.0000 0.7278
0.5000 0.0000 0.0000
0.0000 0.5000 0.0000
0.0000 0.5000 0.5000
0.5000 0.0000 0.5000
```

The calculation puts the volume at 101.9 Å³/cell. Its density is 8.4 g/cm³. As for the final energy: -6.011 eV per atom.



# 12
Entry from OQMD via LeMat-Bulk: an optimized crystal structure of SmMgPO (PBE).

The structure in POSCAR format:
```
SmMgPO
1.0
-3.0600 -3.1731 0.1690
3.0554 -3.0026 -1.0532
1.8119 -1.2741 8.8887
O Mg P Sm
2 2 2 2
direct
0.2500 0.7500 0.0000
0.7500 0.2500 0.0000
0.2500 0.2500 0.9892
0.7500 0.7500 0.0108
0.2500 0.2500 0.6774
0.7500 0.7500 0.3226
0.2500 0.7500 0.5000
0.7500 0.2500 0.5000
```

The calculation puts the volume at 178.3 Å³/cell. Its density is 4.1 g/cm³. As for the final energy: -5.256 eV per atom.



Question: The lowest final energy belongs to which entry?
Answer: number 8